1.
# LaCe4Sn4 PBE optimized geometry
data_LaCe4Sn4
_chemical_formula_sum 'La2 Ce8 Sn8'
_symmetry_space_group_name_H-M 'P 1'
_symmetry_Int_Tables_number 1
_cell_length_a 9.358
_cell_length_b 9.358
_cell_length_c 6.516
_cell_angle_alpha 90.00
_cell_angle_beta 90.00
_cell_angle_gamma 90.00
loop_
_symmetry_equiv_pos_as_xyz
'x,y,z'
loop_
_atom_site_label
_atom_site_type_symbol
_atom_site_fract_x
_atom_site_fract_y
_atom_site_fract_z
La1 La 0.250 0.250 0.250
La2 La 0.750 0.750 0.750
Ce1 Ce 0.029 0.632 0.092
Ce2 Ce 0.132 0.971 0.592
Ce3 Ce 0.368 0.529 0.592
Ce4 Ce 0.471 0.868 0.092
Ce5 Ce 0.529 0.132 0.908
Ce6 Ce 0.632 0.471 0.408
Ce7 Ce 0.868 0.029 0.408
Ce8 Ce 0.971 0.368 0.908
Sn1 Sn 0.047 0.640 0.590
Sn2 Sn 0.140 0.953 0.090
Sn3 Sn 0.360 0.547 0.090
Sn4 Sn 0.453 0.860 0.590
Sn5 Sn 0.547 0.140 0.410
Sn6 Sn 0.640 0.453 0.910
Sn7 Sn 0.860 0.047 0.910
Sn8 Sn 0.953 0.360 0.410
# Mass density   6.834 g/cm³
# Energy of formation   -0.315 eV/atom
# DOS at the Fermi energy   43.2 states/eV/cell
# Total magnetization   4.1 μB/f.u.



2.
# La5Ce2Sn5 PBE optimized geometry
data_La5Ce2Sn5
_chemical_formula_sum 'La5 Ce2 Sn5'
_symmetry_space_group_name_H-M 'P 1'
_symmetry_Int_Tables_number 1
_cell_length_a 8.039
_cell_length_b 8.039
_cell_length_c 12.973
_cell_angle_alpha 119.66
_cell_angle_beta 119.66
_cell_angle_gamma 33.36
loop_
_symmetry_equiv_pos_as_xyz
'x,y,z'
loop_
_atom_site_label
_atom_site_type_symbol
_atom_site_fract_x
_atom_site_fract_y
_atom_site_fract_z
La1 La 0.000 0.000 0.000
La2 La 0.148 0.148 0.491
La3 La 0.175 0.175 0.802
La4 La 0.825 0.825 0.198
La5 La 0.852 0.852 0.509
Ce1 Ce 0.424 0.424 0.699
Ce2 Ce 0.576 0.576 0.301
Sn1 Sn 0.220 0.220 0.290
Sn2 Sn 0.381 0.381 0.060
Sn3 Sn 0.500 0.500 0.500
Sn4 Sn 0.619 0.619 0.940
Sn5 Sn 0.780 0.780 0.710
# Mass density   6.598 g/cm³
# Energy of formation   -0.514 eV/atom
# DOS at the Fermi energy   15.7 states/eV/cell
# Total magnetization   1.7 μB/f.u.



3.
# La4CeSn2 PBE optimized geometry
data_La4CeSn2
_chemical_formula_sum 'La8 Ce2 Sn4'
_symmetry_space_group_name_H-M 'P 1'
_symmetry_Int_Tables_number 1
_cell_length_a 8.363
_cell_length_b 6.698
_cell_length_c 9.147
_cell_angle_alpha 90.00
_cell_angle_beta 115.16
_cell_angle_gamma 90.00
loop_
_symmetry_equiv_pos_as_xyz
'x,y,z'
loop_
_atom_site_label
_atom_site_type_symbol
_atom_site_fract_x
_atom_site_fract_y
_atom_site_fract_z
La1 La 0.017 0.250 0.498
La2 La 0.186 0.503 0.216
La3 La 0.186 0.997 0.216
La4 La 0.342 0.250 0.906
La5 La 0.658 0.750 0.094
La6 La 0.814 0.003 0.784
La7 La 0.814 0.497 0.784
La8 La 0.983 0.750 0.502
Ce1 Ce 0.372 0.750 0.630
Ce2 Ce 0.628 0.250 0.370
Sn1 Sn 0.213 0.750 0.899
Sn2 Sn 0.426 0.250 0.589
Sn3 Sn 0.574 0.750 0.411
Sn4 Sn 0.787 0.250 0.101
# Mass density   6.682 g/cm³
# Energy of formation   -0.419 eV/atom
# Relative energy among the computed polymorphs   10 kJ/mol of formula units
# DOS at the Fermi energy   24.2 states/eV/cell
# Total magnetization   1.0 μB/f.u.



4.
# La2Ce2Sn3 PBE optimized geometry
data_La2Ce2Sn3
_chemical_formula_sum 'La2 Ce2 Sn3'
_symmetry_space_group_name_H-M 'P 1'
_symmetry_Int_Tables_number 1
_cell_length_a 7.631
_cell_length_b 7.631
_cell_length_c 8.020
_cell_angle_alpha 99.52
_cell_angle_beta 99.52
_cell_angle_gamma 34.61
loop_
_symmetry_equiv_pos_as_xyz
'x,y,z'
loop_
_atom_site_label
_atom_site_type_symbol
_atom_site_fract_x
_atom_site_fract_y
_atom_site_fract_z
La1 La 0.124 0.124 0.374
La2 La 0.876 0.876 0.626
Ce1 Ce 0.372 0.372 0.115
Ce2 Ce 0.628 0.628 0.885
Sn1 Sn 0.000 0.000 0.000
Sn2 Sn 0.246 0.246 0.749
Sn3 Sn 0.754 0.754 0.251
# Mass density   5.810 g/cm³
# Energy of formation   -0.381 eV/atom
# DOS at the Fermi energy   11.1 states/eV/cell
# Total magnetization   2.0 μB/f.u.



5.
# La3CeSn2 PBE optimized geometry
data_La3CeSn2
_chemical_formula_sum 'La6 Ce2 Sn4'
_symmetry_space_group_name_H-M 'P 1'
_symmetry_Int_Tables_number 1
_cell_length_a 10.167
_cell_length_b 10.167
_cell_length_c 10.167
_cell_angle_alpha 141.97
_cell_angle_beta 54.75
_cell_angle_gamma 142.13
loop_
_symmetry_equiv_pos_as_xyz
'x,y,z'
loop_
_atom_site_label
_atom_site_type_symbol
_atom_site_fract_x
_atom_site_fract_y
_atom_site_fract_z
La1 La 0.179 0.250 0.428
La2 La 0.250 0.250 0.000
La3 La 0.321 0.750 0.071
La4 La 0.679 0.250 0.929
La5 La 0.750 0.750 0.000
La6 La 0.821 0.750 0.572
Ce1 Ce 0.250 0.750 0.500
Ce2 Ce 0.750 0.250 0.500
Sn1 Sn 0.135 0.746 0.881
Sn2 Sn 0.365 0.246 0.611
Sn3 Sn 0.635 0.754 0.389
Sn4 Sn 0.865 0.254 0.119
# Mass density   6.685 g/cm³
# Energy of formation   -0.581 eV/atom
# Relative energy among the computed polymorphs   0 kJ/mol of formula units
# DOS at the Fermi energy   22.3 states/eV/cell
# Total magnetization   1.7 μB/f.u.



6.
# LaCeSn PBE optimized geometry
data_LaCeSn
_chemical_formula_sum 'La1 Ce1 Sn1'
_symmetry_space_group_name_H-M 'P 1'
_symmetry_Int_Tables_number 1
_cell_length_a 5.335
_cell_length_b 5.335
_cell_length_c 3.330
_cell_angle_alpha 90.00
_cell_angle_beta 90.00
_cell_angle_gamma 120.00
loop_
_symmetry_equiv_pos_as_xyz
'x,y,z'
loop_
_atom_site_label
_atom_site_type_symbol
_atom_site_fract_x
_atom_site_fract_y
_atom_site_fract_z
La1 La 0.000 0.000 0.000
Ce1 Ce 0.667 0.333 0.000
Sn1 Sn 0.333 0.667 0.500
# Mass density   8.047 g/cm³
# Energy of formation   -0.316 eV/atom
# Relative energy among the computed polymorphs   74 kJ/mol of formula units
# DOS at the Fermi energy   5.5 states/eV/cell
# Total magnetization   0.2 μB/f.u.



7.
# LaCeSn PBE optimized geometry
data_LaCeSn
_chemical_formula_sum 'La1 Ce1 Sn1'
_symmetry_space_group_name_H-M 'P 1'
_symmetry_Int_Tables_number 1
_cell_length_a 5.786
_cell_length_b 5.786
_cell_length_c 5.786
_cell_angle_alpha 136.72
_cell_angle_beta 136.72
_cell_angle_gamma 62.87
loop_
_symmetry_equiv_pos_as_xyz
'x,y,z'
loop_
_atom_site_label
_atom_site_type_symbol
_atom_site_fract_x
_atom_site_fract_y
_atom_site_fract_z
La1 La 0.000 0.000 0.000
Ce1 Ce 0.295 0.295 0.000
Sn1 Sn 0.650 0.650 0.000
# Mass density   7.344 g/cm³
# Energy of formation   -0.484 eV/atom
# Relative energy among the computed polymorphs   26 kJ/mol of formula units
# DOS at the Fermi energy   7.1 states/eV/cell
# Total magnetization   0.8 μB/f.u.



8.
# LaCe2Sn PBE optimized geometry
data_LaCe2Sn
_chemical_formula_sum 'La2 Ce4 Sn2'
_symmetry_space_group_name_H-M 'P 1'
_symmetry_Int_Tables_number 1
_cell_length_a 4.603
_cell_length_b 4.460
_cell_length_c 11.775
_cell_angle_alpha 90.00
_cell_angle_beta 99.37
_cell_angle_gamma 90.00
loop_
_symmetry_equiv_pos_as_xyz
'x,y,z'
loop_
_atom_site_label
_atom_site_type_symbol
_atom_site_fract_x
_atom_site_fract_y
_atom_site_fract_z
La1 La 0.202 0.250 0.391
La2 La 0.798 0.750 0.609
Ce1 Ce 0.110 0.750 0.112
Ce2 Ce 0.498 0.250 0.111
Ce3 Ce 0.502 0.750 0.889
Ce4 Ce 0.890 0.250 0.888
Sn1 Sn 0.321 0.250 0.682
Sn2 Sn 0.679 0.750 0.318
# Mass density   7.489 g/cm³
# Energy of formation   -0.420 eV/atom
# Relative energy among the computed polymorphs   0 kJ/mol of formula units
# DOS at the Fermi energy   15.4 states/eV/cell
# Total magnetization   0.4 μB/f.u.



9.
# LaCe4Sn5 PBE optimized geometry
data_LaCe4Sn5
_chemical_formula_sum 'La1 Ce4 Sn5'
_symmetry_space_group_name_H-M 'P 1'
_symmetry_Int_Tables_number 1
_cell_length_a 4.177
_cell_length_b 4.177
_cell_length_c 16.158
_cell_angle_alpha 90.00
_cell_angle_beta 90.00
_cell_angle_gamma 90.00
loop_
_symmetry_equiv_pos_as_xyz
'x,y,z'
loop_
_atom_site_label
_atom_site_type_symbol
_atom_site_fract_x
_atom_site_fract_y
_atom_site_fract_z
La1 La 0.000 0.000 0.000
Ce1 Ce 0.000 0.000 0.207
Ce2 Ce 0.000 0.000 0.400
Ce3 Ce 0.000 0.000 0.600
Ce4 Ce 0.000 0.000 0.793
Sn1 Sn 0.500 0.500 0.108
Sn2 Sn 0.500 0.500 0.303
Sn3 Sn 0.500 0.500 0.500
Sn4 Sn 0.500 0.500 0.697
Sn5 Sn 0.500 0.500 0.892
# Mass density   7.615 g/cm³
# Energy of formation   -0.624 eV/atom
# DOS at the Fermi energy   21.8 states/eV/cell
# Total magnetization   3.5 μB/f.u.



10.
# La4CeSn3 PBE optimized geometry
data_La4CeSn3
_chemical_formula_sum 'La8 Ce2 Sn6'
_symmetry_space_group_name_H-M 'P 1'
_symmetry_Int_Tables_number 1
_cell_length_a 9.577
_cell_length_b 9.577
_cell_length_c 9.577
_cell_angle_alpha 96.01
_cell_angle_beta 96.01
_cell_angle_gamma 142.25
loop_
_symmetry_equiv_pos_as_xyz
'x,y,z'
loop_
_atom_site_label
_atom_site_type_symbol
_atom_site_fract_x
_atom_site_fract_y
_atom_site_fract_z
La1 La 0.085 0.779 0.864
La2 La 0.221 0.085 0.306
La3 La 0.279 0.585 0.864
La4 La 0.415 0.279 0.694
La5 La 0.585 0.721 0.306
La6 La 0.721 0.415 0.136
La7 La 0.779 0.915 0.694
La8 La 0.915 0.221 0.136
Ce1 Ce 0.250 0.750 0.500
Ce2 Ce 0.750 0.250 0.500
Sn1 Sn 0.159 0.341 0.500
Sn2 Sn 0.250 0.250 0.000
Sn3 Sn 0.341 0.841 0.183
Sn4 Sn 0.659 0.159 0.817
Sn5 Sn 0.750 0.750 0.000
Sn6 Sn 0.841 0.659 0.500
# Mass density   6.865 g/cm³
# Energy of formation   -0.700 eV/atom
# DOS at the Fermi energy   22.7 states/eV/cell
# Total magnetization   2.8 μB/f.u.



11.
# LaCe2Sn2 PBE optimized geometry
data_LaCe2Sn2
_chemical_formula_sum 'La2 Ce4 Sn4'
_symmetry_space_group_name_H-M 'P 1'
_symmetry_Int_Tables_number 1
_cell_length_a 9.104
_cell_length_b 9.104
_cell_length_c 3.548
_cell_angle_alpha 90.00
_cell_angle_beta 90.00
_cell_angle_gamma 90.00
loop_
_symmetry_equiv_pos_as_xyz
'x,y,z'
loop_
_atom_site_label
_atom_site_type_symbol
_atom_site_fract_x
_atom_site_fract_y
_atom_site_fract_z
La1 La 0.000 0.000 0.000
La2 La 0.500 0.500 0.000
Ce1 Ce 0.103 0.397 0.000
Ce2 Ce 0.397 0.897 0.000
Ce3 Ce 0.603 0.103 0.000
Ce4 Ce 0.897 0.603 0.000
Sn1 Sn 0.189 0.689 0.500
Sn2 Sn 0.311 0.189 0.500
Sn3 Sn 0.689 0.811 0.500
Sn4 Sn 0.811 0.311 0.500
# Mass density   7.415 g/cm³
# Energy of formation   -0.511 eV/atom
# Relative energy among the computed polymorphs   0 kJ/mol of formula units
# DOS at the Fermi energy   16.9 states/eV/cell
# Total magnetization   1.2 μB/f.u.



Which of these has the highest DOS at the Fermi energy?
LaCe4Sn4